CaFe3Rh: relaxed, GGA-PBE. Values from VASP.

Total energy, eV/cell: -24.83
Space-group type: Pm-3m (221)
Formation energy, eV/atom: 1.983

```
&SYSTEM
  ibrav = 0, nat = 5, ntyp = 3
/
ATOMIC_SPECIES
Fe 55.84 Fe.upf
Ca 40.08 Ca.upf
Rh 102.91 Rh.upf
ATOMIC_POSITIONS angstrom
Fe 2.1978 0.0000 0.0000
Fe 0.0000 0.0000 2.1978
Fe 0.0000 2.1978 0.0000
Ca 0.0000 0.0000 0.0000
Rh 2.1978 2.1978 2.1978
CELL_PARAMETERS angstrom
4.3956 0.0000 0.0000
0.0000 4.3956 0.0000
0.0000 0.0000 4.3956
```

=====

NdZr2Co: relaxed, GGA-PBE. Values from VASP.

Total energy, eV/cell: -28.80
Space-group type: R3m (160)
Formation energy, eV/atom: 0.041

```
&SYSTEM
  ibrav = 0, nat = 4, ntyp = 3
/
ATOMIC_SPECIES
Nd 144.24 Nd.upf
Zr 91.22 Zr.upf
Co 58.93 Co.upf
ATOMIC_POSITIONS angstrom
Nd 4.0943 2.3639 3.3798
Zr 2.0472 1.1819 1.0291
Zr 2.0472 1.1819 5.5988
Co 6.1415 3.5458 6.5037
CELL_PARAMETERS angstrom
4.0943 0.0000 0.0000
2.0472 3.5458 0.0000
2.0472 1.1819 6.6045
```

=====

Rb2UPt3Se6: relaxed, GGA-PBE. Values from VASP.

Total energy, eV/cell: -125.18
Uncorrected formation energy, eV per formula unit: -10.3
Space-group type: Fmmm (69)

```
&SYSTEM
  ibrav = 0, nat = 24, ntyp = 4
/
ATOMIC_SPECIES
Se 78.96 Se.upf
Pt 195.08 Pt.upf
Rb 85.47 Rb.upf
U 238.03 U.upf
ATOMIC_POSITIONS angstrom
Se 2.5160 -3.2649 8.6138
Se 5.4690 -2.8153 21.8687
Se 5.6256 -3.7631 9.9832
Se 7.4434 -3.9092 16.9874
Se 2.8579 0.2946 9.1085
Se 4.1330 -2.9666 5.0267
Se 3.0637 -4.3472 15.6123
Se 3.4055 -0.7877 16.1070
Se 1.7885 -1.0860 19.6941
Se 0.4526 -1.2373 2.8522
Se -1.5219 -0.1434 7.7334
Se 0.2959 -0.2895 14.7376
Pt 1.9830 -5.0564 13.4782
Pt 2.5534 0.7002 14.2771
Pt 4.3505 -1.7082 9.3205
Pt 1.5711 -2.3444 15.4003
Pt 3.3681 -4.7528 10.4437
Pt 3.9385 1.0038 11.2426
Rb 0.8392 -1.6864 11.4261
Rb 1.4804 -1.0132 6.1802
Rb 4.4411 -3.0395 18.5406
Rb 5.0823 -2.3662 13.2947
U 4.7781 -4.4619 7.3477
U 1.1434 0.4093 17.3731
CELL_PARAMETERS angstrom
4.4257 2.5139 10.6855
-4.1963 -0.8797 9.2085
5.6921 -5.6868 4.8268
```

=====

Re4C5: relaxed, GGA-PBE. Values from VASP.

Total energy, eV/cell: -83.17
Space-group type: I4/mmm (139)
Formation energy, eV/atom: 1.416

```
&SYSTEM
  ibrav = 0, nat = 9, ntyp = 2
/
ATOMIC_SPECIES
Re 186.21 Re.upf
C 12.01 C.upf
ATOMIC_POSITIONS angstrom
Re 0.0000 5.9603 0.0000
Re 0.0000 2.1338 0.0000
Re 2.1338 0.0000 0.0000
Re 5.9603 0.0000 0.0000
C 1.4151 -1.4151 1.4215
C -1.4151 1.4151 1.4215
C 1.4151 1.4151 1.4215
C 2.6319 2.6319 0.0000
C 0.0000 0.0000 0.0000
CELL_PARAMETERS angstrom
-4.0471 4.0471 1.4215
4.0471 -4.0471 1.4215
4.0471 4.0471 -1.4215
```

=====

Question: What is the formula in the third record?
Answer: Rb2UPt3Se6